# MgZr2VN

A relaxed MgZr2VN crystal (GGA-PBE, Alexandria via LeMat-Bulk).

Calculated values
* SG: P4/mmm
* ΔE_f (raw): -0.625 eV per atom
* M_tot: 0.0 μB/f.u.

a = 4.624 Å, b = 4.624 Å, c = 3.889 Å
α = 90.00°, β = 90.00°, γ = 90.00°
Fractional positions:
Mg 0.500 0.500 0.500
N 0.000 0.000 0.000
Zr 0.000 0.500 0.000
Zr 0.500 0.000 0.000
V 0.000 0.000 0.500

# PrNdSm4Dy2

A relaxed PrNdSm4Dy2 crystal (GGA-PBE, Alexandria via LeMat-Bulk).

Calculated values
* SG: C2/c
* M_tot: 0.0 μB/f.u.
* ΔE_f: 393 meV per atom

a = 9.600 Å, b = 9.600 Å, c = 11.971 Å
α = 128.67°, β = 128.67°, γ = 87.80°
Fractional positions:
Sm 0.289 0.284 0.034
Sm 0.216 0.211 0.466
Sm 0.784 0.789 0.534
Sm 0.711 0.716 0.966
Sm 0.753 0.245 0.512
Sm 0.745 0.253 0.012
Sm 0.247 0.755 0.488
Sm 0.255 0.747 0.988
Pr 0.000 0.000 0.000
Pr 0.500 0.500 0.500
Dy 0.000 0.000 0.500
Dy 0.500 0.000 0.500
Dy 0.500 0.000 0.000
Dy 0.500 0.500 0.000
Nd 0.000 0.500 0.000
Nd 0.000 0.500 0.500